## SnGeSbAs (PBE)

Data for SnGeSbAs after structural relaxation.

Cell lengths 7.214, 4.168, 8.348 Å; angles 90.00, 105.84, 90.00 degrees
Space group Cm (No. 8)
Symmetry-distinct sites (fractional):
Sn  0.000  0.000  0.000 (multiplicity 2)
Ge  0.169  0.000  0.477 (multiplicity 2)
Sb  0.387  0.500  0.639 (multiplicity 2)
As  0.215  0.500  0.152 (multiplicity 2)


## GeSbTe2As (PBE)

Data for GeSbTe2As after structural relaxation.

Cell lengths 5.307, 5.307, 5.381 Å; angles 90.00, 90.00, 90.00 degrees
Space group P4/mmm (No. 123)
Symmetry-distinct sites (fractional):
Ge  0.000  0.000  0.000 (multiplicity 1)
Sb  0.000  0.000  0.500 (multiplicity 1)
Te  0.000  0.500  0.000 (multiplicity 2)
As  0.500  0.500  0.500 (multiplicity 1)


## GeSbTe2As (PBE)

Data for GeSbTe2As after structural relaxation.

Cell lengths 5.502, 5.502, 5.220 Å; angles 90.00, 90.00, 90.00 degrees
Space group P4/mmm (No. 123)
Symmetry-distinct sites (fractional):
Ge  0.000  0.000  0.000 (multiplicity 1)
Sb  0.500  0.500  0.000 (multiplicity 1)
Te  0.000  0.500  0.500 (multiplicity 2)
As  0.500  0.500  0.500 (multiplicity 1)


## Th6Ge2SbAs3 (PBE)

Data for Th6Ge2SbAs3 after structural relaxation.

Cell lengths 18.797, 4.312, 8.642 Å; angles 90.00, 103.02, 90.00 degrees
Space group C2/m (No. 12)
Symmetry-distinct sites (fractional):
Th  0.002  0.000  0.266 (multiplicity 4)
Th  0.168  0.500  0.582 (multiplicity 4)
Th  0.173  0.500  0.090 (multiplicity 4)
Ge  0.167  0.000  0.333 (multiplicity 4)
Sb  0.000  0.500  0.000 (multiplicity 2)
As  0.000  0.500  0.500 (multiplicity 2)
As  0.164  0.000  0.833 (multiplicity 4)


## Th4GeSbAs2 (PBE)

Data for Th4GeSbAs2 after structural relaxation.

Cell lengths 7.492, 4.320, 7.534 Å; angles 90.00, 109.30, 90.00 degrees
Space group P2/m (No. 10)
Symmetry-distinct sites (fractional):
Th  0.236  0.000  0.234 (multiplicity 2)
Th  0.245  0.500  0.759 (multiplicity 2)
Ge  0.500  0.000  0.000 (multiplicity 1)
Sb  0.500  0.500  0.500 (multiplicity 1)
As  0.000  0.000  0.500 (multiplicity 1)
As  0.000  0.500  0.000 (multiplicity 1)


## Th6Ge3SbAs2 (PBE)

Data for Th6Ge3SbAs2 after structural relaxation.

Cell lengths 18.858, 4.320, 8.664 Å; angles 90.00, 103.27, 90.00 degrees
Space group C2/m (No. 12)
Symmetry-distinct sites (fractional):
Th  0.001  0.000  0.265 (multiplicity 4)
Th  0.166  0.500  0.585 (multiplicity 4)
Th  0.173  0.500  0.084 (multiplicity 4)
Ge  0.000  0.500  0.500 (multiplicity 2)
Ge  0.165  0.000  0.832 (multiplicity 4)
Sb  0.000  0.500  0.000 (multiplicity 2)
As  0.168  0.000  0.334 (multiplicity 4)


## Th4Ge2SbAs (PBE)

Data for Th4Ge2SbAs after structural relaxation.

Cell lengths 7.535, 4.337, 7.542 Å; angles 90.00, 109.39, 90.00 degrees
Space group P2/m (No. 10)
Symmetry-distinct sites (fractional):
Th  0.237  0.000  0.235 (multiplicity 2)
Th  0.245  0.500  0.759 (multiplicity 2)
Ge  0.000  0.500  0.000 (multiplicity 1)
Ge  0.500  0.000  0.000 (multiplicity 1)
Sb  0.500  0.500  0.500 (multiplicity 1)
As  0.000  0.000  0.500 (multiplicity 1)


## Th4GeSb2As (PBE)

Data for Th4GeSb2As after structural relaxation.

Cell lengths 7.555, 4.367, 7.700 Å; angles 90.00, 109.12, 90.00 degrees
Space group P2/m (No. 10)
Symmetry-distinct sites (fractional):
Th  0.241  0.000  0.227 (multiplicity 2)
Th  0.257  0.500  0.773 (multiplicity 2)
Ge  0.000  0.500  0.000 (multiplicity 1)
Sb  0.000  0.000  0.500 (multiplicity 1)
Sb  0.500  0.500  0.500 (multiplicity 1)
As  0.500  0.000  0.000 (multiplicity 1)


## Ti2GeSbAs (PBE)

Data for Ti2GeSbAs after structural relaxation.

Cell lengths 4.886, 4.886, 4.715 Å; angles 90.00, 90.00, 90.00 degrees
Space group P4/mmm (No. 123)
Symmetry-distinct sites (fractional):
Ti  0.000  0.500  0.000 (multiplicity 2)
Ge  0.000  0.000  0.000 (multiplicity 1)
Sb  0.500  0.500  0.500 (multiplicity 1)
As  0.000  0.000  0.500 (multiplicity 1)


## Tm4GeSb2As (PBE)

Data for Tm4GeSb2As after structural relaxation.

Cell lengths 7.272, 4.170, 7.351 Å; angles 90.00, 109.07, 90.00 degrees
Space group P2/m (No. 10)
Symmetry-distinct sites (fractional):
Tm  0.244  0.000  0.229 (multiplicity 2)
Tm  0.256  0.500  0.770 (multiplicity 2)
Ge  0.500  0.000  0.000 (multiplicity 1)
Sb  0.000  0.000  0.500 (multiplicity 1)
Sb  0.500  0.500  0.500 (multiplicity 1)
As  0.000  0.500  0.000 (multiplicity 1)


## Sc7Ge2As2 (PBE)

Data for Sc7Ge2As2 after structural relaxation.

Cell lengths 7.892, 9.793, 6.336 Å; angles 90.00, 90.00, 90.00 degrees
Space group Cmmm (No. 65)
Symmetry-distinct sites (fractional):
Sc  0.000  0.000  0.000 (multiplicity 2)
Sc  0.000  0.500  0.261 (multiplicity 4)
Sc  0.250  0.250  0.272 (multiplicity 8)
Ge  0.187  0.000  0.500 (multiplicity 4)
As  0.000  0.277  0.000 (multiplicity 4)


## ScGeAs (PBE)

Data for ScGeAs after structural relaxation.

Cell lengths 4.6246, 4.6246, 21.7294 Å; angles 90.00, 90.00, 120.00 degrees
Space group R-3m (No. 166, hexagonal axes)
Symmetry-distinct sites (fractional):
Sc  0.0000  0.0000  0.0875 (multiplicity 6)
Ge  0.0000  0.0000  0.3359 (multiplicity 6)
As  0.0000  0.0000  0.2197 (multiplicity 6)


## Sc2Ge2As (PBE)

Data for Sc2Ge2As after structural relaxation.

Cell lengths 4.824, 4.824, 9.758 Å; angles 90.00, 90.00, 90.00 degrees
Space group I4/mmm (No. 139)
Symmetry-distinct sites (fractional):
Sc  0.000  0.500  0.250 (multiplicity 4)
Ge  0.000  0.000  0.121 (multiplicity 4)
As  0.000  0.000  0.500 (multiplicity 2)


Number 1: raw total energy -4.260 eV/atom, density of states at the Fermi level 0.8 states/eV/f.u., magnetic moment 0.0 μB per formula unit. Number 2: raw total energy -3.164 eV/atom, density of states at the Fermi level 4.3 states/eV/f.u., magnetic moment 0.0 μB per formula unit. Number 3: raw total energy -3.274 eV/atom, density of states at the Fermi level 4.5 states/eV/f.u., magnetic moment 0.0 μB per formula unit. Number 4: raw total energy -7.097 eV/atom, density of states at the Fermi level 5.8 states/eV/f.u., magnetic moment 0.0 μB per formula unit. Number 5: raw total energy -7.080 eV/atom, density of states at the Fermi level 4.5 states/eV/f.u., magnetic moment 0.0 μB per formula unit. Number 6: raw total energy -6.996 eV/atom, density of states at the Fermi level 6.5 states/eV/f.u., magnetic moment 0.0 μB per formula unit. Number 7: raw total energy -6.932 eV/atom, density of states at the Fermi level 4.7 states/eV/f.u., magnetic moment 0.0 μB per formula unit. Number 8: raw total energy -6.919 eV/atom, density of states at the Fermi level 4.5 states/eV/f.u., magnetic moment 0.0 μB per formula unit. Number 9: raw total energy -5.398 eV/atom, density of states at the Fermi level 8.0 states/eV/f.u., magnetic moment 0.0 μB per formula unit. Number 10: raw total energy -5.483 eV/atom, density of states at the Fermi level 2.9 states/eV/f.u., magnetic moment 0.0 μB per formula unit. Number 11: raw total energy -6.317 eV/atom, density of states at the Fermi level 13.0 states/eV/f.u., magnetic moment 1.4 μB per formula unit. Number 12: raw total energy -5.717 eV/atom, density of states at the Fermi level 0.6 states/eV/f.u., magnetic moment 0.0 μB per formula unit. Number 13: raw total energy -5.437 eV/atom, density of states at the Fermi level 6.2 states/eV/f.u., magnetic moment 0.0 μB per formula unit.